[1]
Compound: Li4TlAg2
Source: Alexandria via LeMat-Bulk
Functional: GGA-PBE
Structure: relaxed

The space group is Immm (No. 71) and the conventional cell measures 2.928, 4.538 and 18.436 Å, with angles of 90.00, 90.00 and 90.00 degrees. Symmetry generates all atoms from Li at (0.000, 0.000, 0.073), Li at (0.000, 0.500, 0.151), Tl at (0.000, 0.000, 0.500) and Ag at (0.000, 0.500, 0.294).

For the formation energy, the calculation gives -174 meV/atom. The density of states at the Fermi level is 0.392 states/eV per atom. For the relative energy among the computed polymorphs, the calculation gives 0.0 kJ per mole of atoms. Its total energy is -2.420 eV/atom.

***

[2]
Compound: Li6TlAg2
Source: Alexandria via LeMat-Bulk
Functional: GGA-PBE
Structure: relaxed

The space group is C2/m (No. 12) and the conventional cell measures 13.596, 7.876 and 2.903 Å, with angles of 90.00, 90.82 and 90.00 degrees. Symmetry generates all atoms from Li at (0.000, 0.162, 0.000), Li at (0.169, 0.331, 0.013), Tl at (0.000, 0.500, 0.500) and Ag at (0.166, 0.000, 0.500).

For the formation energy, the calculation gives -166 meV/atom. The density of states at the Fermi level is 0.324 states/eV per atom. For the relative energy among the computed polymorphs, the calculation gives 0.0 kJ per mole of atoms. Its total energy is -2.338 eV/atom.

***

[3]
Compound: LiTlAg
Source: Alexandria via LeMat-Bulk
Functional: GGA-PBE
Structure: relaxed

The space group is Cmcm (No. 63) and the conventional cell measures 4.152, 12.933 and 4.505 Å, with angles of 90.00, 90.00 and 90.00 degrees. Symmetry generates all atoms from Li at (0.000, 0.096, 0.250), Tl at (0.000, 0.413, 0.250) and Ag at (0.000, 0.249, 0.750).

For the formation energy, the calculation gives -117 meV/atom. The density of states at the Fermi level is 0.315 states/eV per atom. For the relative energy among the computed polymorphs, the calculation gives 3.0 kJ per mole of atoms. Its total energy is -2.495 eV/atom.

***

[4]
Compound: LiTlAg2
Source: Alexandria via LeMat-Bulk
Functional: GGA-PBE
Structure: relaxed

The space group is Pmmm (No. 47) and the conventional cell measures 4.190, 4.209 and 4.368 Å, with angles of 90.00, 90.00 and 90.00 degrees. Symmetry generates all atoms from Li at (0.000, 0.000, 0.000), Tl at (0.500, 0.500, 0.000), Ag at (0.000, 0.500, 0.500) and Ag at (0.500, 0.000, 0.500).

For the formation energy, the calculation gives -77 meV/atom. The density of states at the Fermi level is 0.439 states/eV per atom. Its total energy is -2.572 eV/atom.

***

[5]
Compound: LiTlAg
Source: Alexandria via LeMat-Bulk
Functional: GGA-PBE
Structure: relaxed

The space group is P3m1 (No. 156) and the conventional cell measures 4.7528, 4.7528 and 3.1292 Å, with angles of 90.00, 90.00 and 120.00 degrees. Symmetry generates all atoms from Li at (0.0000, 0.0000, 0.0000), Tl at (0.6667, 0.3333, 0.3379) and Ag at (0.3333, 0.6667, 0.6682).

For the formation energy, the calculation gives -83 meV/atom. The density of states at the Fermi level is 0.378 states/eV per atom. For the relative energy among the computed polymorphs, the calculation gives 6.3 kJ per mole of atoms. Its total energy is -2.460 eV/atom.

***

[6]
Compound: Li3TlAg5
Source: Alexandria via LeMat-Bulk
Functional: GGA-PBE
Structure: relaxed

The space group is P6_3/mcm (No. 193) and the conventional cell measures 8.0208, 8.0208 and 5.7185 Å, with angles of 90.00, 90.00 and 120.00 degrees. Symmetry generates all atoms from Li at (0.0000, 0.3331, 0.2500), Tl at (0.0000, 0.0000, 0.0000), Ag at (0.0000, 0.3484, 0.7500) and Ag at (0.3333, 0.6667, 0.0000).

For the formation energy, the calculation gives -100 meV/atom. The density of states at the Fermi level is 0.383 states/eV per atom. Its total energy is -2.585 eV/atom.

***

[7]
Compound: Li5Tl4Ag2
Source: Alexandria via LeMat-Bulk
Functional: GGA-PBE
Structure: relaxed

The space group is P2/m (No. 10) and the conventional cell measures 7.436, 3.309 and 9.460 Å, with angles of 90.00, 92.51 and 90.00 degrees. Symmetry generates all atoms from Li at (0.000, 0.000, 0.000), Li at (0.061, 0.000, 0.323), Li at (0.344, 0.000, 0.856), Tl at (0.233, 0.500, 0.588), Tl at (0.301, 0.500, 0.111) and Ag at (0.421, 0.000, 0.359).

For the formation energy, the calculation gives -114 meV/atom. The density of states at the Fermi level is 0.446 states/eV per atom. For the relative energy among the computed polymorphs, the calculation gives 7.8 kJ per mole of atoms. Its total energy is -2.362 eV/atom.

***

[8]
Compound: Li5Tl2Ag5
Source: Alexandria via LeMat-Bulk
Functional: GGA-PBE
Structure: relaxed

The space group is C2/m (No. 12) and the conventional cell measures 13.630, 4.410 and 8.466 Å, with angles of 90.00, 122.31 and 90.00 degrees. Symmetry generates all atoms from Li at (0.000, 0.000, 0.000), Li at (0.086, 0.000, 0.764), Li at (0.246, 0.000, 0.239), Tl at (0.159, 0.000, 0.502), Ag at (0.000, 0.500, 0.500), Ag at (0.072, 0.500, 0.221) and Ag at (0.175, 0.500, 0.000).

For the formation energy, the calculation gives -159 meV/atom. The density of states at the Fermi level is 0.239 states/eV per atom. Its total energy is -2.539 eV/atom.

***

[9]
Compound: Li15Tl4Ag
Source: Alexandria via LeMat-Bulk
Functional: GGA-PBE
Structure: relaxed

The space group is P4/mmm (No. 123) and the conventional cell measures 4.100, 4.100 and 22.182 Å, with angles of 90.00, 90.00 and 90.00 degrees. Symmetry generates all atoms from Li at (0.000, 0.000, 0.000), Li at (0.000, 0.000, 0.191), Li at (0.000, 0.000, 0.397), Li at (0.000, 0.500, 0.091), Li at (0.000, 0.500, 0.294), Li at (0.000, 0.500, 0.500), Tl at (0.500, 0.500, 0.194), Tl at (0.500, 0.500, 0.395) and Ag at (0.500, 0.500, 0.000).

For the formation energy, the calculation gives -177 meV/atom. The density of states at the Fermi level is 0.438 states/eV per atom. Its total energy is -2.228 eV/atom.

***

[10]
Compound: Li14TlAg
Source: Alexandria via LeMat-Bulk
Functional: GGA-PBE
Structure: relaxed

The space group is Amm2 (No. 38) and the conventional cell measures 8.404, 8.239 and 8.695 Å, with angles of 90.00, 90.00 and 90.00 degrees. Symmetry generates all atoms from Li at (0.000, 0.000, 0.000), Li at (0.000, 0.000, 0.500), Li at (0.000, 0.250, 0.250), Li at (0.262, 0.000, 0.250), Li at (0.262, 0.244, 0.500), Li at (0.263, 0.000, 0.748), Li at (0.500, 0.249, 0.250), Tl at (0.500, 0.000, 0.000) and Ag at (0.500, 0.000, 0.500).

For the formation energy, the calculation gives -87 meV/atom. The density of states at the Fermi level is 0.418 states/eV per atom. Its total energy is -2.087 eV/atom.

***

[11]
Compound: Li12Tl3Ag
Source: Alexandria via LeMat-Bulk
Functional: GGA-PBE
Structure: relaxed

The space group is P4/mmm (No. 123) and the conventional cell measures 4.145, 4.145 and 17.274 Å, with angles of 90.00, 90.00 and 90.00 degrees. Symmetry generates all atoms from Li at (0.000, 0.000, 0.000), Li at (0.000, 0.000, 0.241), Li at (0.000, 0.000, 0.500), Li at (0.000, 0.500, 0.114), Li at (0.000, 0.500, 0.370), Tl at (0.500, 0.500, 0.243), Tl at (0.500, 0.500, 0.500) and Ag at (0.500, 0.500, 0.000).

For the formation energy, the calculation gives -175 meV/atom. The density of states at the Fermi level is 0.383 states/eV per atom. Its total energy is -2.233 eV/atom.

***

[12]
Compound: Li5Tl5Ag2
Source: Alexandria via LeMat-Bulk
Functional: GGA-PBE
Structure: relaxed

The space group is C2/m (No. 12) and the conventional cell measures 14.728, 4.775 and 8.834 Å, with angles of 90.00, 124.76 and 90.00 degrees. Symmetry generates all atoms from Li at (0.000, 0.000, 0.000), Li at (0.080, 0.000, 0.420), Li at (0.249, 0.500, 0.777), Tl at (0.000, 0.500, 0.500), Tl at (0.103, 0.500, 0.942), Tl at (0.176, 0.500, 0.354) and Ag at (0.145, 0.000, 0.793).

For the formation energy, the calculation gives -140 meV/atom. The density of states at the Fermi level is 0.355 states/eV per atom. Its total energy is -2.399 eV/atom.

***

[13]
Compound: LiTlAg6
Source: Alexandria via LeMat-Bulk
Functional: GGA-PBE
Structure: relaxed

The space group is P-6m2 (No. 187) and the conventional cell measures 5.9235, 5.9235 and 4.8695 Å, with angles of 90.00, 90.00 and 120.00 degrees. Symmetry generates all atoms from Li at (0.0000, 0.0000, 0.0000), Tl at (0.3333, 0.6667, 0.5000), Ag at (0.3302, 0.1651, 0.5000) and Ag at (0.5036, 0.0072, 0.0000).

For the formation energy, the calculation gives -16 meV/atom. The density of states at the Fermi level is 0.174 states/eV per atom. Its total energy is -2.690 eV/atom.

***

[14]
Compound: Li6TlAg6
Source: Alexandria via LeMat-Bulk
Functional: GGA-PBE
Structure: relaxed

The space group is P6/mmm (No. 191) and the conventional cell measures 5.5935, 5.5935 and 9.0644 Å, with angles of 90.00, 90.00 and 120.00 degrees. Symmetry generates all atoms from Li at (0.0000, 0.0000, 0.1721), Li at (0.3333, 0.6667, 0.0000), Li at (0.3333, 0.6667, 0.5000), Tl at (0.0000, 0.0000, 0.5000) and Ag at (0.0000, 0.5000, 0.2512).

For the formation energy, the calculation gives -142 meV/atom. The density of states at the Fermi level is 0.257 states/eV per atom. Its total energy is -2.523 eV/atom.

***

[15]
Compound: Li5Tl3Ag3
Source: Alexandria via LeMat-Bulk
Functional: GGA-PBE
Structure: relaxed

The space group is P-62m (No. 189) and the conventional cell measures 9.5909, 9.5909 and 3.0232 Å, with angles of 90.00, 90.00 and 120.00 degrees. Symmetry generates all atoms from Li at (0.0000, 0.3226, 0.0000), Li at (0.3333, 0.6667, 0.0000), Tl at (0.0000, 0.5734, 0.5000) and Ag at (0.0000, 0.8323, 0.0000).

For the formation energy, the calculation gives -16 meV/atom. The density of states at the Fermi level is 0.411 states/eV per atom. Its total energy is -2.309 eV/atom.

***

[16]
Compound: Li5TlAg4
Source: Alexandria via LeMat-Bulk
Functional: GGA-PBE
Structure: relaxed

The space group is P4/mmm (No. 123) and the conventional cell measures 3.265, 3.265 and 15.810 Å, with angles of 90.00, 90.00 and 90.00 degrees. Symmetry generates all atoms from Li at (0.000, 0.000, 0.000), Li at (0.000, 0.000, 0.194), Li at (0.000, 0.000, 0.385), Tl at (0.500, 0.500, 0.500), Ag at (0.500, 0.500, 0.096) and Ag at (0.500, 0.500, 0.289).

For the formation energy, the calculation gives -213 meV/atom. The density of states at the Fermi level is 0.316 states/eV per atom. Its total energy is -2.547 eV/atom.

***

[17]
Compound: Li4Tl5Ag2
Source: Alexandria via LeMat-Bulk
Functional: GGA-PBE
Structure: relaxed

The space group is C2/m (No. 12) and the conventional cell measures 19.534, 3.659 and 7.035 Å, with angles of 90.00, 101.06 and 90.00 degrees. Symmetry generates all atoms from Li at (0.026, 0.000, 0.319), Li at (0.223, 0.500, 0.802), Tl at (0.000, 0.500, 0.000), Tl at (0.135, 0.000, 0.978), Tl at (0.174, 0.000, 0.451) and Ag at (0.072, 0.500, 0.616).

For the formation energy, the calculation gives -83 meV/atom. The density of states at the Fermi level is 0.301 states/eV per atom. Its total energy is -2.373 eV/atom.

***

[18]
Compound: Li6Tl2Ag
Source: Alexandria via LeMat-Bulk
Functional: GGA-PBE
Structure: relaxed

The space group is R-3m (No. 166, hexagonal axes) and the conventional cell measures 4.6138, 4.6138 and 29.4758 Å, with angles of 90.00, 90.00 and 120.00 degrees. Symmetry generates all atoms from Li at (0.0000, 0.0000, 0.0976), Li at (0.0000, 0.0000, 0.2002), Li at (0.0000, 0.0000, 0.3060), Tl at (0.0000, 0.0000, 0.4029) and Ag at (0.0000, 0.0000, 0.5000).

For the formation energy, the calculation gives -141 meV/atom. The density of states at the Fermi level is 0.458 states/eV per atom. For the relative energy among the computed polymorphs, the calculation gives 3.8 kJ per mole of atoms. Its total energy is -2.259 eV/atom.

***

[19]
Compound: Li3TlAg
Source: Alexandria via LeMat-Bulk
Functional: GGA-PBE
Structure: relaxed

The space group is Pnma (No. 62) and the conventional cell measures 7.338, 6.831 and 7.491 Å, with angles of 90.00, 90.00 and 90.00 degrees. Symmetry generates all atoms from Li at (0.138, 0.035, 0.144), Li at (0.154, 0.250, 0.813), Tl at (0.000, 0.000, 0.500) and Ag at (0.165, 0.750, 0.894).

For the formation energy, the calculation gives -132 meV/atom. The density of states at the Fermi level is 0.345 states/eV per atom. For the relative energy among the computed polymorphs, the calculation gives 2.4 kJ per mole of atoms. Its total energy is -2.324 eV/atom.

***

[20]
Compound: Li7TlAg3
Source: Alexandria via LeMat-Bulk
Functional: GGA-PBE
Structure: relaxed

The space group is C2/m (No. 12) and the conventional cell measures 9.555, 9.819 and 5.039 Å, with angles of 90.00, 118.88 and 90.00 degrees. Symmetry generates all atoms from Li at (0.000, 0.000, 0.000), Li at (0.167, 0.500, 0.154), Li at (0.172, 0.276, 0.672), Tl at (0.000, 0.000, 0.500), Ag at (0.000, 0.269, 0.000) and Ag at (0.000, 0.500, 0.500).

For the formation energy, the calculation gives -93 meV/atom. The density of states at the Fermi level is 0.297 states/eV per atom. For the relative energy among the computed polymorphs, the calculation gives 4.1 kJ per mole of atoms. Its total energy is -2.304 eV/atom.

***

[21]
Compound: Li2TlAg
Source: Alexandria via LeMat-Bulk
Functional: GGA-PBE
Structure: relaxed

The space group is P2/m (No. 10) and the conventional cell measures 3.434, 3.308 and 6.410 Å, with angles of 90.00, 90.15 and 90.00 degrees. Symmetry generates all atoms from Li at (0.000, 0.000, 0.229), Tl at (0.500, 0.500, 0.500) and Ag at (0.500, 0.500, 0.000).

For the formation energy, the calculation gives -219 meV/atom. The density of states at the Fermi level is 0.232 states/eV per atom. Its total energy is -2.480 eV/atom.